DFT (GGA-PBE) results for a relaxed structure of RbSmCdSe3.

Results
Space group   No. 11
E   -25.1 eV/f.u.

Cell: 8.996 4.327 10.649 Å, 90.00 108.94 90.00°
Fractional positions:
Cd: 0.582 0.250 0.113
Cd: 0.418 0.750 0.887
Rb: 0.259 0.750 0.239
Rb: 0.741 0.250 0.761
Se: 0.728 0.750 0.054
Se: 0.030 0.250 0.350
Se: 0.590 0.250 0.363
Se: 0.410 0.750 0.637
Se: 0.970 0.750 0.650
Se: 0.272 0.250 0.946
Sm: 0.818 0.750 0.369
Sm: 0.182 0.250 0.631